1.
First-principles (PBE-GGA) data for crystalline NaDyBi2S4 at its relaxed geometry, as listed in the Alexandria database.

The total energy is -4.68 eV/atom. The uncorrected formation energy is -87 kJ/mol of atoms.

```
NaDyBi2S4
1.0
-2.234 -3.071 1.038
-0.518 -2.450 -8.365
5.268 -2.302 4.528
Bi Dy S Na
2 1 4 1
Direct
0.000 0.500 0.500
0.500 0.000 0.500
0.500 0.500 0.000
0.500 0.704 0.820
0.500 0.296 0.180
0.000 0.288 0.692
0.000 0.712 0.308
0.000 0.000 0.000
```

=====

2.
First-principles (PBE-GGA) data for crystalline Na2DyBiS4 at its relaxed geometry, as listed in the Alexandria database.

The total energy is -4.75 eV/atom. The uncorrected formation energy is -125 kJ/mol of atoms.

```
Na2DyBiS4
1.0
-3.559 1.167 -1.477
-3.050 -1.560 6.115
2.161 6.777 0.147
Dy Na S Bi
1 2 4 1
Direct
0.500 0.500 0.000
0.000 0.500 0.500
0.500 0.000 0.500
0.000 0.264 0.772
0.500 0.252 0.234
0.500 0.748 0.766
0.000 0.736 0.228
0.000 0.000 0.000
```

=====

3.
First-principles (PBE-GGA) data for crystalline Na3Dy3BiSe8 at its relaxed geometry, as listed in the Alexandria database.

The total energy is -4.68 eV/atom. The uncorrected formation energy is -133 kJ/mol of atoms.

```
Na3Dy3BiSe8
1.0
8.261 0.000 0.000
-4.130 7.159 -0.028
0.000 -4.749 7.093
Se Na Dy Bi
8 3 3 1
Direct
0.743 0.486 0.729
0.245 0.985 0.730
0.755 0.015 0.270
0.741 0.985 0.730
0.245 0.490 0.730
0.259 0.015 0.270
0.257 0.514 0.271
0.755 0.510 0.270
0.000 0.000 0.000
0.500 0.500 0.000
0.000 0.500 0.000
0.000 0.500 0.500
0.500 0.000 0.500
0.500 0.500 0.500
0.000 0.000 0.500
```

=====

4.
First-principles (PBE-GGA) data for crystalline Na3Dy2BiSe6 at its relaxed geometry, as listed in the Alexandria database.

The total energy is -4.55 eV/atom. The uncorrected formation energy is -134 kJ/mol of atoms.

```
Na3Dy2BiSe6
1.0
7.244 -0.001 0.000
-3.622 6.274 0.000
-1.208 -2.093 7.028
Dy Na Se Bi
2 3 6 1
Direct
0.333 0.667 0.000
0.667 0.333 0.000
0.162 0.838 0.500
0.500 0.500 0.500
0.838 0.162 0.500
0.736 0.736 0.231
0.418 0.078 0.232
0.264 0.264 0.769
0.922 0.582 0.768
0.582 0.922 0.768
0.078 0.418 0.232
0.000 0.000 0.000
```